Entry 1:
Compound: BaAg2GeTe3Se
Source: OQMD
Functional: PBE
Structure: optimized geometry

Cell lengths 6.920, 6.921, 7.026 Å; angles 112.00, 115.35, 100.65 degrees
Fractional coordinates of all 8 atoms:
1 Ba 0.000 0.000 0.000
2 Ag 0.195 0.685 0.506
3 Ag 0.816 0.311 0.482
4 Ge 0.508 0.478 0.000
5 Te 0.131 0.513 0.982
6 Te 0.477 0.463 0.607
7 Te 0.864 0.855 0.392
8 Se 0.534 0.139 0.007

---

Entry 2:
Compound: HfRePt
Source: OQMD
Functional: PBE
Structure: optimized geometry

Cell lengths 4.383, 4.383, 4.383 Å; angles 60.00, 60.00, 60.00 degrees
Fractional coordinates of all 3 atoms:
1 Hf 0.000 0.000 0.000
2 Re 0.250 0.250 0.250
3 Pt 0.750 0.750 0.750

Results
Total magnetization   0.48 μB/f.u.

---

Entry 3:
Compound: Mg5Pa
Source: OQMD
Functional: PBE
Structure: optimized geometry

Cell lengths 5.673, 5.673, 5.115 Å; angles 90.00, 90.00, 120.00 degrees
Fractional coordinates of all 6 atoms:
1 Mg 0.000 0.632 0.000
2 Mg 0.333 0.667 0.500
3 Mg 0.368 0.368 0.000
4 Mg 0.632 0.000 0.000
5 Mg 0.667 0.333 0.500
6 Pa 0.000 0.000 0.500

Results
Total magnetization   1.39 μB/f.u.

---

Entry 4:
Compound: ReBi
Source: OQMD
Functional: PBE
Structure: optimized geometry

Cell lengths 5.135, 4.585, 8.296 Å; angles 90.00, 90.00, 90.00 degrees
Fractional coordinates of all 8 atoms:
1 Re 0.000 0.000 0.000
2 Re 0.250 0.500 0.063
3 Re 0.500 0.000 0.000
4 Re 0.750 0.500 0.937
5 Bi 0.250 0.000 0.321
6 Bi 0.250 0.500 0.724
7 Bi 0.750 0.000 0.679
8 Bi 0.750 0.500 0.276

Results
Total magnetization   0.01 μB/f.u.

---

Entry 5:
Compound: Dy3InNiSn2Pt2
Source: OQMD
Functional: PBE
Structure: optimized geometry

Cell lengths 3.748, 7.677, 7.677 Å; angles 120.25, 90.00, 90.00 degrees
Fractional coordinates of all 9 atoms:
1 Dy 0.000 0.000 0.000
2 Dy 0.000 0.185 0.589
3 Dy 0.000 0.589 0.185
4 In 0.500 0.340 0.340
5 Ni 0.000 0.600 0.600
6 Sn 0.500 0.590 0.842
7 Sn 0.500 0.842 0.590
8 Pt 0.500 0.258 0.924
9 Pt 0.500 0.924 0.258

Results
Total magnetization   0.00 μB/f.u.

---

Entry 6:
Compound: BaCuSiNi
Source: OQMD
Functional: PBE
Structure: optimized geometry

Cell lengths 4.117, 4.117, 11.302 Å; angles 90.00, 90.00, 120.00 degrees
Fractional coordinates of all 8 atoms:
1 Ba 0.333 0.667 0.000
2 Ba 0.667 0.333 0.500
3 Cu 0.333 0.667 0.720
4 Cu 0.667 0.333 0.220
5 Si 0.000 0.000 0.261
6 Si 0.000 0.000 0.761
7 Ni 0.333 0.667 0.281
8 Ni 0.667 0.333 0.781

Results
Total magnetization   0.00 μB/f.u.

---

Entry 7:
Compound: GaSn2Pd6
Source: OQMD
Functional: PBE
Structure: optimized geometry

Cell lengths 7.217, 7.217, 3.355 Å; angles 90.00, 90.00, 120.00 degrees
Fractional coordinates of all 9 atoms:
1 Ga 0.000 0.000 0.000
2 Sn 0.333 0.667 0.500
3 Sn 0.667 0.333 0.500
4 Pd 0.000 0.380 0.000
5 Pd 0.000 0.735 0.500
6 Pd 0.265 0.265 0.500
7 Pd 0.380 0.000 0.000
8 Pd 0.620 0.620 0.000
9 Pd 0.735 0.000 0.500

---

Entry 8:
Compound: BeTlIrPb
Source: OQMD
Functional: PBE
Structure: optimized geometry

Cell lengths 4.787, 4.787, 4.787 Å; angles 60.00, 60.00, 60.00 degrees
Fractional coordinates of all 4 atoms:
1 Be 0.000 0.000 0.000
2 Tl 0.750 0.750 0.750
3 Ir 0.500 0.500 0.500
4 Pb 0.250 0.250 0.250

Results
Total magnetization   0.00 μB/f.u.

---

Entry 9:
Compound: HfNbAs2
Source: OQMD
Functional: PBE
Structure: optimized geometry

Cell lengths 3.805, 3.805, 12.286 Å; angles 90.00, 90.00, 120.00 degrees
Fractional coordinates of all 8 atoms:
1 Hf 0.333 0.667 0.123
2 Hf 0.667 0.333 0.877
3 Nb 0.333 0.667 0.394
4 Nb 0.667 0.333 0.606
5 As 0.000 0.000 0.000
6 As 0.000 0.000 0.500
7 As 0.333 0.667 0.742
8 As 0.667 0.333 0.258

Results
Total magnetization   0.00 μB/f.u.

---

Entry 10:
Compound: AgPdCl3
Source: OQMD
Functional: PBE
Structure: optimized geometry

Cell lengths 6.871, 6.871, 6.871 Å; angles 57.39, 57.39, 57.39 degrees
Fractional coordinates of all 10 atoms:
1 Ag 0.250 0.250 0.250
2 Ag 0.750 0.750 0.750
3 Pd 0.000 0.000 0.000
4 Pd 0.500 0.500 0.500
5 Cl 0.139 0.750 0.361
6 Cl 0.250 0.639 0.861
7 Cl 0.361 0.139 0.750
8 Cl 0.639 0.861 0.250
9 Cl 0.750 0.361 0.139
10 Cl 0.861 0.250 0.639

---

Entry 11:
Compound: CuAgSbPt
Source: OQMD
Functional: PBE
Structure: optimized geometry

Cell lengths 4.616, 4.616, 4.616 Å; angles 60.00, 60.00, 60.00 degrees
Fractional coordinates of all 4 atoms:
1 Cu 0.000 0.000 0.000
2 Ag 0.250 0.250 0.250
3 Sb 0.750 0.750 0.750
4 Pt 0.500 0.500 0.500

Results
Total magnetization   0.00 μB/f.u.

---

Entry 12:
Compound: LiHo
Source: OQMD
Functional: PBE
Structure: optimized geometry

Cell lengths 4.553, 4.553, 4.553 Å; angles 60.00, 60.00, 60.00 degrees
Fractional coordinates of all 2 atoms:
1 Li 0.000 0.000 0.000
2 Ho 0.250 0.250 0.250

Results
Total magnetization   0.88 μB/f.u.

---

The E_tot results, record by record, are as follows: -3.696 -9.003 -2.583 -7.646 -5.646 -4.496 -5.253 -3.939 -8.032 -3.102 -4.215 -1.957 eV/atom.